The following is a GGA-PBE calculation of a relaxed PuTiTlO6 crystal, from Alexandria.

Unit cell a=5.3999 b=5.3999 c=12.2997 alpha=90.00 beta=90.00 gamma=120.00
Positions (direct):
Pu  0.3333  0.6667  0.2500
Pu  0.6667  0.3333  0.7500
Ti  0.6667  0.3333  0.2500
Ti  0.3333  0.6667  0.7500
Tl  0.0000  0.0000  0.0000
Tl  0.0000  0.0000  0.5000
O  0.6207  0.6168  0.1623
O  0.9961  0.3793  0.1623
O  0.3793  0.9961  0.6623
O  0.0039  0.6207  0.8377
O  0.3832  0.3793  0.3377
O  0.9961  0.6168  0.3377
O  0.6168  0.9961  0.8377
O  0.6207  0.0039  0.3377
O  0.0039  0.3832  0.6623
O  0.3832  0.0039  0.1623
O  0.6168  0.6207  0.6623
O  0.3793  0.3832  0.8377

Results
formation energy without anion corrections = -2.26 eV/atom
total magnetic moment = 1.0 μB/f.u.
final energy = -8.29 eV per atom